The following is a PBE-GGA calculation of a geometry-optimized Al2SbRh structure, from the Alexandria database.

Unit cell a=4.175 b=4.175 c=8.057 alpha=90.00 beta=90.00 gamma=90.00
Fractional positions:
Al (0.000, 0.000, 0.000)
Al (0.000, 0.500, 0.250)
Al (0.500, 0.000, 0.750)
Al (0.500, 0.500, 0.500)
Sb (0.000, 0.000, 0.500)
Sb (0.500, 0.500, 0.000)
Rh (0.000, 0.500, 0.750)
Rh (0.500, 0.000, 0.250)

M_tot ... 0.0 μB per formula unit
E_tot ... -4.816 eV per atom
Formation energy (no corrections) ... -0.08 eV/atom
DOS(E_F) ... 3.90 states/eV/cell

The following is a PBE-GGA calculation of a geometry-optimized TlRhSeF2 structure, from the Alexandria database.

Unit cell a=4.019 b=4.019 c=6.749 alpha=90.00 beta=90.00 gamma=90.00
Fractional positions:
Tl (0.000, 0.000, 0.000)
Rh (0.500, 0.500, 0.000)
Se (0.000, 0.000, 0.500)
F (0.000, 0.500, 0.500)
F (0.500, 0.000, 0.500)

M_tot ... 0.4 μB per formula unit
E_tot ... -3.629 eV per atom
Formation energy (no corrections) ... -0.24 eV/atom
DOS(E_F) ... 4.98 states/eV/cell

The following is a PBE-GGA calculation of a geometry-optimized Ba2Ag2Pd structure, from the Alexandria database.

Unit cell a=3.985 b=3.985 c=19.115 alpha=90.00 beta=90.00 gamma=90.00
Fractional positions:
Ba (0.000, 0.000, 0.099)
Ba (0.000, 0.000, 0.901)
Ba (0.500, 0.500, 0.401)
Ba (0.500, 0.500, 0.599)
Ag (0.000, 0.500, 0.250)
Ag (0.000, 0.500, 0.750)
Ag (0.500, 0.000, 0.250)
Ag (0.500, 0.000, 0.750)
Pd (0.000, 0.000, 0.500)
Pd (0.500, 0.500, 0.000)

Formation energy from the elements ... -0.23 eV per atom
M_tot ... 0.0 μB per formula unit
E_tot ... -3.182 eV per atom
DOS(E_F) ... 4.81 states/eV/cell

The following is a PBE-GGA calculation of a geometry-optimized Zn4IrSe structure, from the Alexandria database.

Unit cell a=5.067 b=5.067 c=5.067 alpha=60.00 beta=60.00 gamma=60.00
Fractional positions:
Zn (0.376, 0.376, 0.376)
Zn (0.376, 0.376, 0.873)
Zn (0.376, 0.873, 0.376)
Zn (0.873, 0.376, 0.376)
Ir (0.750, 0.750, 0.750)
Se (0.000, 0.000, 0.000)

M_tot ... 0.0 μB per formula unit
E_tot ... -2.683 eV per atom
Formation energy (no corrections) ... 0.22 eV/atom
DOS(E_F) ... 4.93 states/eV/cell

The following is a PBE-GGA calculation of a geometry-optimized ZnPbW2 structure, from the Alexandria database.

Unit cell a=3.309 b=3.309 c=6.816 alpha=90.00 beta=90.00 gamma=90.00
Fractional positions:
Zn (0.000, 0.000, 0.000)
Pb (0.500, 0.500, 0.299)
W (0.000, 0.000, 0.596)
W (0.500, 0.500, 0.792)

Formation energy from the elements ... 0.51 eV per atom
M_tot ... 0.0 μB per formula unit
E_tot ... -7.214 eV per atom
DOS(E_F) ... 2.54 states/eV/cell

The following is a PBE-GGA calculation of a geometry-optimized BaNaPtO4 structure, from the Alexandria database.

Unit cell a=6.438 b=6.438 c=6.438 alpha=60.00 beta=60.00 gamma=60.00
Fractional positions:
Ba (0.000, 0.000, 0.000)
Na (0.750, 0.750, 0.750)
Pt (0.500, 0.500, 0.500)
O (0.140, 0.620, 0.620)
O (0.620, 0.140, 0.620)
O (0.620, 0.620, 0.140)
O (0.620, 0.620, 0.620)

M_tot ... 1.0 μB per formula unit
E_tot ... -4.759 eV per atom
Formation energy (no corrections) ... -0.60 eV/atom
DOS(E_F) ... 4.16 states/eV/cell

Copy entry 6 word for word.
The following is a PBE-GGA calculation of a geometry-optimized BaNaPtO4 structure, from the Alexandria database.

Unit cell a=6.438 b=6.438 c=6.438 alpha=60.00 beta=60.00 gamma=60.00
Fractional positions:
Ba (0.000, 0.000, 0.000)
Na (0.750, 0.750, 0.750)
Pt (0.500, 0.500, 0.500)
O (0.140, 0.620, 0.620)
O (0.620, 0.140, 0.620)
O (0.620, 0.620, 0.140)
O (0.620, 0.620, 0.620)

M_tot ... 1.0 μB per formula unit
E_tot ... -4.759 eV per atom
Formation energy (no corrections) ... -0.60 eV/atom
DOS(E_F) ... 4.16 states/eV/cell

Please write out number 4 again, unchanged.
The following is a PBE-GGA calculation of a geometry-optimized Zn4IrSe structure, from the Alexandria database.

Unit cell a=5.067 b=5.067 c=5.067 alpha=60.00 beta=60.00 gamma=60.00
Fractional positions:
Zn (0.376, 0.376, 0.376)
Zn (0.376, 0.376, 0.873)
Zn (0.376, 0.873, 0.376)
Zn (0.873, 0.376, 0.376)
Ir (0.750, 0.750, 0.750)
Se (0.000, 0.000, 0.000)

M_tot ... 0.0 μB per formula unit
E_tot ... -2.683 eV per atom
Formation energy (no corrections) ... 0.22 eV/atom
DOS(E_F) ... 4.93 states/eV/cell

Q: Look up the M_tot of the third one.
A: 0.0 μB per formula unit

Q: Which of these has the lowest E_tot?
A: ZnPbW2